Record 1
Crystalline BaCdC2O6 at its relaxed geometry. Source: the Alexandria database, functional PBE.

a = 8.3067 Å, b = 10.5737 Å, c = 7.0230 Å
α = 90.00°, β = 110.55°, γ = 90.00°
Closest atoms and distances in Å follow each position.
Space group C2/c (No. 15)
Symmetry-distinct sites (fractional):
1 Ba 0.0000 0.1420 0.2500 [4 per cell]  6 O 2.71-2.80
2 Cd 0.0000 0.3726 0.7500 [4 per cell]  6 O 2.27-2.48
3 C 0.2269 0.3876 0.2427 [8 per cell]  3 O 1.29-1.31
4 O 0.0904 0.3549 0.0933 [8 per cell]  1 C 1.29
5 O 0.1584 0.1963 0.6641 [8 per cell]  1 C 1.30
6 O 0.2479 0.4961 0.8113 [8 per cell]  1 C 1.31

Calculated values
Total moment: 0.0000 μB/atom
D(E_F): 0.0000 states/eV/atom
ΔE_f (raw): -1695 kJ/mol of formula units



Record 2
Crystalline BaCd3C4O12 at its relaxed geometry. Source: the Alexandria database, functional PBE.

a = 10.2755 Å, b = 10.2755 Å, c = 8.8380 Å
α = 90.00°, β = 90.00°, γ = 120.00°
Closest atoms and distances in Å follow each position.
Space group R32 (No. 155, hexagonal axes)
Symmetry-distinct sites (fractional):
1 Ba 0.0000 0.0000 0.0000 [3 per cell]  6 O 2.67
2 Cd 0.0000 0.5333 0.0000 [9 per cell]  6 O 2.28-2.39
3 C 0.0000 0.0000 0.5000 [3 per cell]  3 O 1.30
4 C 0.0000 0.4641 0.5000 [9 per cell]  3 O 1.29-1.31
5 O 0.0000 0.5919 0.5000 [9 per cell]  1 C 1.31
6 O 0.0000 0.8732 0.5000 [9 per cell]  1 C 1.30
7 O 0.0075 0.2077 0.8134 [18 per cell]  1 C 1.29

Calculated values
Total moment: 0.0000 μB/atom
D(E_F): 0.0000 states/eV/atom
ΔE_f (raw): -2980 kJ/mol of formula units



Record 3
Crystalline Ba2SrCdC at its relaxed geometry. Source: the Alexandria database, functional PBE.

a = 5.7504 Å, b = 5.7504 Å, c = 5.5531 Å
α = 90.00°, β = 90.00°, γ = 90.00°
Closest atoms and distances in Å follow each position.
Space group P4/mmm (No. 123)
Symmetry-distinct sites (fractional):
1 Ba 0.0000 0.5000 0.0000 [2 per cell]  2 C 2.88
2 Sr 0.0000 0.0000 0.5000 [1 per cell]  2 C 2.78
3 Cd 0.5000 0.5000 0.5000 [1 per cell]  8 Ba 4.00, 4 Sr 4.07
4 C 0.0000 0.0000 0.0000 [1 per cell]  2 Sr 2.78, 4 Ba 2.88

Calculated values
Total moment: 0.3274 μB/atom
D(E_F): 1.3122 states/eV/atom
VASP energy: -14.19 eV per formula unit



Record 4
Crystalline BaZn2CdC at its relaxed geometry. Source: the Alexandria database, functional PBE.

a = 6.7485 Å, b = 6.7485 Å, c = 4.7846 Å
α = 90.00°, β = 90.00°, γ = 90.00°
Closest atoms and distances in Å follow each position.
Space group P4/mmm (No. 123)
Symmetry-distinct sites (fractional):
1 Ba 0.0000 0.0000 0.0000 [1 per cell]  2 C 2.39
2 Zn 0.0000 0.5000 0.0000 [2 per cell]  2 Ba 3.37
3 Cd 0.5000 0.5000 0.5000 [1 per cell]  8 Zn 4.14
4 C 0.0000 0.0000 0.5000 [1 per cell]  2 Ba 2.39

Calculated values
Total moment: 0.1923 μB/atom
D(E_F): 0.4011 states/eV/atom
VASP energy: -7.56 eV per formula unit



Record 5
Crystalline Ba2ZnCdC at its relaxed geometry. Source: the Alexandria database, functional PBE.

a = 5.9547 Å, b = 5.9547 Å, c = 4.3110 Å
α = 90.00°, β = 90.00°, γ = 90.00°
Closest atoms and distances in Å follow each position.
Space group P4/mmm (No. 123)
Symmetry-distinct sites (fractional):
1 Ba 0.0000 0.5000 0.0000 [2 per cell]  2 C 2.98
2 Zn 0.0000 0.0000 0.5000 [1 per cell]  8 Ba 3.68
3 Cd 0.5000 0.5000 0.5000 [1 per cell]  2 C 2.16
4 C 0.5000 0.5000 0.0000 [1 per cell]  2 Cd 2.16

Calculated values
Total moment: 0.0000 μB/atom
D(E_F): 0.7873 states/eV/atom
VASP energy: -13.67 eV per formula unit



Record 6
Crystalline BaNaCe2C4O12F at its relaxed geometry. Source: the Alexandria database, functional PBE.

a = 5.1467 Å, b = 5.1467 Å, c = 23.2163 Å
α = 90.00°, β = 90.00°, γ = 120.00°
Closest atoms and distances in Å follow each position.
Space group P6_3/mmc (No. 194)
Symmetry-distinct sites (fractional):
1 Ba 0.0000 0.0000 0.0000 [2 per cell]  12 O 3.00, 6 C 3.36
2 Na 0.3333 0.6667 0.2500 [2 per cell]  6 O 2.40
3 Ce 0.3333 0.6667 0.6471 [4 per cell]  1 F 2.39, 9 O 2.52-2.67
4 C 0.0000 0.0000 0.1773 [4 per cell]  3 O 1.29
5 C 0.3333 0.6667 0.0674 [4 per cell]  3 O 1.30
6 O 0.0422 0.5211 0.0661 [12 per cell]  1 C 1.30
7 O 0.1452 0.2905 0.1761 [12 per cell]  1 C 1.29
8 F 0.3333 0.6667 0.7500 [2 per cell]  2 Ce 2.39

Calculated values
Total moment: 0.0952 μB/atom
D(E_F): 0.8076 states/eV/atom
ΔE_f (raw): -4599 kJ/mol of formula units